Entry 1:
## Pm3SmDy8 (GGA-PBE)

Data for Pm3SmDy8 after structural relaxation.

Cell: 6.454 11.336 11.464 Å, 90.00 90.00 90.00°
Space group Immm (No. 71)
Unique sites:
Pm (0.000, 0.000, 0.000) (multiplicity 2)
Pm (0.000, 0.500, 0.250) (multiplicity 4)
Sm (0.000, 0.000, 0.500) (multiplicity 2)
Dy (0.000, 0.169, 0.250) (multiplicity 8)
Dy (0.250, 0.249, 0.500) (multiplicity 8)

Formation energy from the elements (meV per atom): 298.8
Electronic total energy (eV/atom): -4.3502

---

Entry 2:
## Tl2BiPb5 (GGA-PBE)

Data for Tl2BiPb5 after structural relaxation.

Cell: 8.577 8.577 13.945 Å, 90.00 90.00 90.00°
Space group I4/mcm (No. 140)
Unique sites:
Tl (0.146, 0.354, 0.000) (multiplicity 8)
Bi (0.000, 0.000, 0.250) (multiplicity 4)
Pb (0.000, 0.000, 0.000) (multiplicity 4)
Pb (0.144, 0.356, 0.334) (multiplicity 16)

Formation energy from the elements (meV per atom): 60.9
Electronic total energy (eV/atom): -3.3335
Excess energy over the best structure of this formula in the dataset (eV/f.u.): 0.089

---

Entry 3:
## Pr8Si3Te4H (GGA-PBE)

Data for Pr8Si3Te4H after structural relaxation.

Cell: 8.7086 8.7086 21.9555 Å, 90.00 90.00 120.00°
Space group R-3m (No. 166, hexagonal axes)
Unique sites:
Pr (0.0000, 0.0000, 0.2414) (multiplicity 6)
Pr (0.0073, 0.5037, 0.7585) (multiplicity 18)
Si (0.0000, 0.5000, 0.5000) (multiplicity 9)
Te (0.0000, 0.0000, 0.0000) (multiplicity 3)
Te (0.0000, 0.5000, 0.0000) (multiplicity 9)
H (0.0000, 0.0000, 0.5000) (multiplicity 3)

Electronic total energy (eV/atom): -5.4377

---

Entry 4:
## PuTcOs (GGA-PBE)

Data for PuTcOs after structural relaxation.

Cell: 8.108 5.005 5.795 Å, 90.00 117.14 90.00°
Space group C2/m (No. 12)
Unique sites:
Pu (0.018, 0.000, 0.259) (multiplicity 4)
Tc (0.170, 0.500, 0.702) (multiplicity 4)
Os (0.176, 0.500, 0.177) (multiplicity 4)

Formation energy from the elements (meV per atom): 251.1
Electronic total energy (eV/atom): -11.7248
Excess energy over the best structure of this formula in the dataset (eV/f.u.): 0.847

---

Entry 5:
## Ca2SiCl (GGA-PBE)

Data for Ca2SiCl after structural relaxation.

Cell: 4.212 4.212 5.958 Å, 90.00 90.00 90.00°
Space group P4/mmm (No. 123)
Unique sites:
Ca (0.000, 0.000, 0.000) (multiplicity 1)
Ca (0.500, 0.500, 0.500) (multiplicity 1)
Si (0.000, 0.000, 0.500) (multiplicity 1)
Cl (0.500, 0.500, 0.000) (multiplicity 1)

Electronic total energy (eV/atom): -3.8363
Excess energy over the best structure of this formula in the dataset (eV/f.u.): 0.198

---

Entry 6:
## Mn2IrRu (GGA-PBE)

Data for Mn2IrRu after structural relaxation.

Cell: 2.742 4.528 8.737 Å, 90.00 90.00 90.00°
Space group Cmm2 (No. 35)
Unique sites:
Mn (0.000, 0.000, 0.000) (multiplicity 2)
Mn (0.000, 0.500, 0.237) (multiplicity 2)
Ir (0.000, 0.000, 0.484) (multiplicity 2)
Ru (0.000, 0.500, 0.760) (multiplicity 2)

Formation energy from the elements (meV per atom): 290.5
Electronic total energy (eV/atom): -8.8285

---

Entry 7:
## Ce3HoZn8 (GGA-PBE)

Data for Ce3HoZn8 after structural relaxation.

Cell: 5.6108 5.6108 8.5513 Å, 90.00 90.00 120.00°
Space group P3m1 (No. 156)
Unique sites:
Ce (0.0000, 0.0000, 0.0000) (multiplicity 1)
Ce (0.0000, 0.0000, 0.3386) (multiplicity 1)
Ce (0.3333, 0.6667, 0.8649) (multiplicity 1)
Ho (0.3333, 0.6667, 0.4871) (multiplicity 1)
Zn (0.0002, 0.5001, 0.1755) (multiplicity 3)
Zn (0.3259, 0.1629, 0.6695) (multiplicity 3)
Zn (0.6667, 0.3333, 0.4235) (multiplicity 1)
Zn (0.6667, 0.3333, 0.9201) (multiplicity 1)

Formation energy from the elements (meV per atom): -275.7
Electronic total energy (eV/atom): -2.9900
Excess energy over the best structure of this formula in the dataset (eV/f.u.): 0.092

---

Entry 8:
## NaYTlIn (GGA-PBE)

Data for NaYTlIn after structural relaxation.

Cell: 3.870 5.237 5.267 Å, 90.00 90.00 90.00°
Space group Pmmm (No. 47)
Unique sites:
Na (0.000, 0.000, 0.000) (multiplicity 1)
Y (0.000, 0.500, 0.500) (multiplicity 1)
Tl (0.500, 0.500, 0.000) (multiplicity 1)
In (0.500, 0.000, 0.500) (multiplicity 1)

Formation energy from the elements (meV per atom): -292.8
Electronic total energy (eV/atom): -3.5148
Excess energy over the best structure of this formula in the dataset (eV/f.u.): 0.000